{"formula": "La2Y2HoTm", "functional": "GGA-PBE", "state": "optimized geometry", "magnetic_moment_mub_per_cell": 0.0, "dos_ef_per_ev_cell": 19.8, "vol_a3_per_cell": 403, "total_energy_ev_per_cell": -60.61, "lattice_angstrom": [[6.7370, 0.0000, 0.0000], [0.0000, 17.7158, 0.0000], [0.0000, 0.0000, 3.3773]], "species": ["La", "La", "La", "La", "Y", "Y", "Y", "Y", "Ho", "Ho", "Tm", "Tm"], "fractional_positions": [[0.2448, 0.1525, 0.0000], [0.2552, 0.6525, 0.5000], [0.7448, 0.3475, 0.5000], [0.7552, 0.8475, 0.0000], [0.2463, 0.8286, 0.0000], [0.2537, 0.3286, 0.5000], [0.7463, 0.6714, 0.5000], [0.7537, 0.1714, 0.0000], [0.0000, 0.0000, 0.5000], [0.5000, 0.5000, 0.0000], [0.0000, 0.5000, 0.5000], [0.5000, 0.0000, 0.0000]]}

{"formula": "La3YHo6Tm2", "functional": "GGA-PBE", "state": "optimized geometry", "magnetic_moment_mub_per_cell": 0.0, "dos_ef_per_ev_cell": 17.4, "vol_a3_per_cell": 388, "total_energy_ev_per_cell": -57.33, "lattice_angstrom": [[3.1014, -5.3729, 0.0000], [3.1014, 5.3729, 0.0000], [-2.0687, 0.0000, 11.6540]], "species": ["La", "La", "La", "Y", "Ho", "Ho", "Ho", "Ho", "Ho", "Ho", "Tm", "Tm"], "fractional_positions": [[0.0000, 0.0000, 0.0000], [0.3332, 0.6668, 0.0000], [0.6668, 0.3332, 0.0000], [0.5000, 0.5000, 0.5000], [0.0847, 0.4190, 0.2564], [0.2465, 0.2465, 0.7436], [0.4190, 0.0847, 0.2564], [0.5810, 0.9153, 0.7436], [0.7535, 0.7535, 0.2564], [0.9153, 0.5810, 0.7436], [0.1667, 0.8333, 0.5000], [0.8333, 0.1667, 0.5000]]}

{"formula": "LaYHo3Tm", "functional": "GGA-PBE", "state": "optimized geometry", "magnetic_moment_mub_per_cell": 0.0, "dos_ef_per_ev_cell": 19.6, "vol_a3_per_cell": 391, "total_energy_ev_per_cell": -56.65, "lattice_angstrom": [[9.7644, -2.8254, 0.0000], [9.7644, 2.8254, 0.0000], [-0.1355, 0.0000, 7.0901]], "species": ["La", "La", "Y", "Y", "Ho", "Ho", "Ho", "Ho", "Ho", "Ho", "Tm", "Tm"], "fractional_positions": [[0.1437, 0.1437, 0.0242], [0.8563, 0.8563, 0.9758], [0.4488, 0.4488, 0.7246], [0.5512, 0.5512, 0.2754], [0.0237, 0.0237, 0.7274], [0.2794, 0.2794, 0.7584], [0.3366, 0.3366, 0.2819], [0.6634, 0.6634, 0.7181], [0.7206, 0.7206, 0.2416], [0.9763, 0.9763, 0.2726], [0.1507, 0.1507, 0.4528], [0.8493, 0.8493, 0.5472]]}

{"formula": "La2Y2HoTm2", "functional": "GGA-PBE", "state": "optimized geometry", "magnetic_moment_mub_per_cell": 0.0, "dos_ef_per_ev_cell": 13.2, "vol_a3_per_cell": 236, "total_energy_ev_per_cell": -35.25, "lattice_angstrom": [[8.8763, -1.7407, 0.0000], [8.8763, 1.7407, 0.0000], [-3.8875, 0.0000, 7.6318]], "species": ["La", "La", "Y", "Y", "Ho", "Tm", "Tm"], "fractional_positions": [[0.1484, 0.1484, 0.3819], [0.8516, 0.8516, 0.6181], [0.0694, 0.0694, 0.9013], [0.9306, 0.9306, 0.0987], [0.5000, 0.5000, 0.5000], [0.2883, 0.2883, 0.1975], [0.7117, 0.7117, 0.8025]]}